VASP calculation (PBE) on Hg2Bi2Cl after structural relaxation.

Values from the calculation:
Space group: P4/mbm
D(E_F) (states/eV per cell): 5.12
Spin magnetization (Bohr magnetons per cell): 0.00
Excess energy over the best structure of this formula in the dataset (eV per atom): 0.000
Raw formation energy (eV/atom): -0.0603

The structure in POSCAR format:
```
Hg2Bi2Cl
1.0
8.014 0.000 0.000
0.000 8.014 0.000
0.000 0.000 4.607
Hg Bi Cl
4 4 2
Cartesian
1.361 2.646 0.000
2.646 6.653 0.000
5.368 1.361 0.000
6.653 5.368 0.000
1.095 5.102 2.303
2.912 1.095 2.303
5.102 6.919 2.303
6.919 2.912 2.303
0.000 0.000 2.303
4.007 4.007 2.303
```